A plane-wave DFT calculation with PBE was carried out for a relaxed DyTh3Sc7 crystal.

Cell lengths 6.747, 6.747, 8.026 Å; angles 90.00, 90.00, 120.00 degrees
Fractional coordinates of all 11 atoms:
Dy  0.000  0.000  0.000
Th  0.336  0.168  0.657
Th  0.832  0.168  0.657
Th  0.832  0.664  0.657
Sc  0.168  0.336  0.327
Sc  0.168  0.832  0.327
Sc  0.500  0.001  0.999
Sc  0.500  0.500  0.999
Sc  0.664  0.832  0.327
Sc  0.667  0.333  0.321
Sc  0.999  0.500  0.999

Fermi-level density of states = 15.86 states/eV/cell
DFT formation energy = 0.228 eV per atom
M_tot = 0.000 μB per atom
space group = P3m1
calculated density = 6.2 g/cm³